Entry 1:
A plane-wave DFT calculation with PBEsol was carried out for Zr3Sn after structural relaxation.

Properties
Its formation enthalpy at 0 K is -0.376 eV/atom. The total energy is -33.031 eV per cell. As for the size of the total moment: 0.00 μB per formula unit. The value obtained for the calculated density is 7.53 Mg/m³.

abc: 4.297 4.297 5.586
angles: 112.62 112.62 90.00
Fractional coordinates of all 4 atoms:
Sn1 0.000 0.000 0.000
Zr1 0.750 0.250 0.500
Zr2 0.250 0.750 0.500
Zr3 0.500 0.500 0.000

***

Entry 2:
A plane-wave DFT calculation with PBEsol was carried out for SrTa2 after structural relaxation.

Properties
Its formation enthalpy at 0 K is 0.753 eV/atom. The total energy is -49.364 eV per cell. As for the size of the total moment: 0.00 μB per formula unit. The value obtained for the calculated density is 10.14 Mg/m³.

abc: 2.987 6.175 8.230
angles: 91.67 90.00 104.00
Fractional coordinates of all 6 atoms:
Sr1 0.948 0.896 0.008
Sr2 0.699 0.398 0.300
Ta1 0.689 0.379 0.846
Ta2 0.330 0.660 0.656
Ta3 0.446 0.893 0.391
Ta4 0.054 0.108 0.632

***

Entry 3:
A plane-wave DFT calculation with PBEsol was carried out for SrTa4 after structural relaxation.

Properties
Its formation enthalpy at 0 K is 2.623 eV/atom. The total energy is -38.928 eV per cell. As for the size of the total moment: 0.00 μB per formula unit. The value obtained for the calculated density is 11.92 Mg/m³.

abc: 5.275 5.275 5.275
angles: 109.47 109.47 109.47
Fractional coordinates of all 5 atoms:
Ta1 0.500 0.500 0.500
Ta2 0.000 0.000 0.500
Ta3 0.000 0.500 0.000
Ta4 0.500 0.000 0.000
Sr1 0.000 0.000 0.000

***

Entry 4:
A plane-wave DFT calculation with PBEsol was carried out for SrTaTc2 after structural relaxation.

Properties
Its formation enthalpy at 0 K is 0.541 eV/atom. The total energy is -34.759 eV per cell. As for the size of the total moment: 0.00 μB per formula unit. The value obtained for the calculated density is 9.23 Mg/m³. The energy above the most stable polymorph in this dataset is 0.61 eV per formula unit.

abc: 3.031 3.654 7.545
angles: 90.00 90.00 90.00
Fractional coordinates of all 4 atoms:
Tc1 0.000 0.000 0.015
Tc2 0.500 0.500 0.161
Sr1 0.000 0.000 0.484
Ta1 0.500 0.500 0.840

***

Entry 5:
A plane-wave DFT calculation with PBEsol was carried out for SrTaTc2 after structural relaxation.

Properties
Its formation enthalpy at 0 K is 0.602 eV/atom. The total energy is -34.514 eV per cell. As for the size of the total moment: 0.00 μB per formula unit. The value obtained for the calculated density is 9.22 Mg/m³. The energy above the most stable polymorph in this dataset is 0.85 eV per formula unit.

abc: 3.139 5.185 5.594
angles: 104.55 90.00 107.62
Fractional coordinates of all 4 atoms:
Tc1 0.005 0.010 0.007
Tc2 0.710 0.421 0.143
Ta1 0.291 0.582 0.858
Sr1 0.493 0.987 0.491

***

Entry 6:
A plane-wave DFT calculation with PBEsol was carried out for SrTaTc after structural relaxation.

Properties
Its formation enthalpy at 0 K is 0.417 eV/atom. The total energy is -24.407 eV per cell. As for the size of the total moment: 0.00 μB per formula unit. The value obtained for the calculated density is 9.04 Mg/m³.

abc: 3.299 3.299 6.614
angles: 104.44 104.44 90.00
Fractional coordinates of all 3 atoms:
Tc1 0.300 0.300 0.601
Sr1 0.989 0.989 0.978
Ta1 0.710 0.710 0.421

***

Entry 7:
A plane-wave DFT calculation with PBEsol was carried out for SrTaTc2 after structural relaxation.

Properties
Its formation enthalpy at 0 K is 0.803 eV/atom. The total energy is -33.711 eV per cell. As for the size of the total moment: 0.00 μB per formula unit. The value obtained for the calculated density is 10.89 Mg/m³. The energy above the most stable polymorph in this dataset is 1.66 eV per formula unit.

abc: 3.171 4.726 4.726
angles: 90.00 90.00 90.00
Fractional coordinates of all 4 atoms:
Sr1 0.500 0.500 0.500
Tc1 0.000 0.000 0.500
Tc2 0.000 0.500 0.000
Ta1 0.500 0.000 0.000

***

Entry 8:
A plane-wave DFT calculation with PBEsol was carried out for SrTaTc2 after structural relaxation.

Properties
Its formation enthalpy at 0 K is 0.389 eV/atom. The total energy is -35.367 eV per cell. As for the size of the total moment: 0.00 μB per formula unit. The value obtained for the calculated density is 9.99 Mg/m³. The energy above the most stable polymorph in this dataset is 0.00 eV per formula unit.

abc: 3.217 3.217 7.460
angles: 90.00 90.00 90.00
Fractional coordinates of all 4 atoms:
Tc1 0.000 0.000 0.687
Tc2 0.000 0.000 0.313
Ta1 0.500 0.500 0.500
Sr1 0.500 0.500 0.000